VASP calculation (PBEsol) on a geometry-optimized MnAuI2O structure.

a = 3.591 Å, b = 5.447 Å, c = 5.447 Å
α = 90.00°, β = 90.00°, γ = 90.00°
Atoms (fractional coordinates):
I 0.000 0.000 0.500
I 0.000 0.500 0.000
Mn 0.000 0.000 0.000
Au 0.500 0.500 0.500
O 0.500 0.000 0.000

Calculated values
Density of states at the Fermi level (states/eV per cell): 3.407
SG: P4/mmm
Raw formation energy (kcal/mol of atoms): -3.5

=====

VASP calculation (PBEsol) on a geometry-optimized TlPSe structure.

a = 4.305 Å, b = 4.305 Å, c = 4.556 Å
α = 90.00°, β = 90.00°, γ = 120.00°
Atoms (fractional coordinates):
P 0.000 0.000 0.761
Tl 0.667 0.333 0.353
Se 0.333 0.667 0.886

Calculated values
Density of states at the Fermi level (states/eV per cell): 0.830
SG: P3m1
Raw formation energy (kcal/mol of atoms): 4.6

=====

VASP calculation (PBEsol) on a geometry-optimized K2CuTe structure.

a = 3.307 Å, b = 6.090 Å, c = 6.092 Å
α = 90.00°, β = 89.99°, γ = 90.00°
Atoms (fractional coordinates):
Cu 0.375 0.500 0.872
K 0.875 0.000 0.878
K 0.875 0.500 0.373
Te 0.375 0.000 0.378

Calculated values
Density of states at the Fermi level (states/eV per cell): 0.885
SG: Pmm2
Raw formation energy (kcal/mol of atoms): -2.4

=====

VASP calculation (PBEsol) on a geometry-optimized Sr2NiPSe structure.

a = 4.679 Å, b = 5.714 Å, c = 5.714 Å
α = 90.00°, β = 90.00°, γ = 90.00°
Atoms (fractional coordinates):
Sr 0.000 0.000 0.500
Sr 0.000 0.500 0.000
P 0.500 0.000 0.000
Se 0.000 0.000 0.000
Ni 0.500 0.500 0.500

Calculated values
Density of states at the Fermi level (states/eV per cell): 6.855
SG: P4/mmm
Raw formation energy (kcal/mol of atoms): 2.6

=====

Question: What is the raw formation energy in the fourth record?
Answer: 2.6 kcal/mol of atoms

=====

Question: Which of these has the highest raw formation energy?
Answer: TlPSe

=====

Question: Among the records above, which one has the highest raw formation energy?
Answer: TlPSe